# 1
DFT (PBE) results for LiBe2 after structural relaxation.

```
LiBe2
1.0
1.1813 -8.4252 0.0000
1.1813 8.4252 0.0000
0.0000 0.0000 3.4617
Li Be
2 4
direct
0.3200 0.6800 0.7500 Li
0.6800 0.3200 0.2500 Li
0.5682 0.4318 0.7500 Be
0.9564 0.0436 0.7500 Be
0.0436 0.9564 0.2500 Be
0.4318 0.5682 0.2500 Be
```

Summary:
The energy relative to the lowest polymorph listed for this composition is 0.04 eV/f.u. The calculated formation energy is 92 meV per atom.

# 2
DFT (PBE) results for Li3Be after structural relaxation.

```
Li3Be
1.0
2.5127 0.0000 0.0000
0.0000 4.2069 0.0000
0.0000 0.0000 5.4436
Be Li
1 3
direct
0.0000 0.0000 0.0000 Be
0.5000 0.5000 0.7765 Li
0.0000 0.0000 0.5000 Li
0.5000 0.5000 0.2235 Li
```

Summary:
The energy relative to the lowest polymorph listed for this composition is 0.18 eV/f.u. The calculated formation energy is 210 meV per atom.

# 3
DFT (PBE) results for LiBe2 after structural relaxation.

```
LiBe2
1.0
2.2743 0.0000 -0.0125
0.0000 3.5578 0.0000
-0.8632 0.0000 7.6634
Li Be
2 4
direct
0.3334 0.2500 0.6188 Li
0.6666 0.7500 0.3812 Li
0.4723 0.2500 0.9198 Be
0.5277 0.7500 0.0802 Be
0.0697 0.2500 0.1776 Be
0.9303 0.7500 0.8224 Be
```

Summary:
The energy relative to the lowest polymorph listed for this composition is 0.01 eV/f.u. The calculated formation energy is 82 meV per atom.

# 4
DFT (PBE) results for Li3Be after structural relaxation.

```
Li3Be
1.0
4.5137 0.0000 0.0000
0.0000 4.7211 0.0000
0.0000 0.0000 5.5312
Li Be
6 2
direct
0.5000 0.3462 0.0000 Li
0.0000 0.6538 0.5000 Li
0.0000 0.1802 0.2477 Li
0.0000 0.1802 0.7523 Li
0.5000 0.8198 0.7477 Li
0.5000 0.8198 0.2523 Li
0.0000 0.6805 0.0000 Be
0.5000 0.3195 0.5000 Be
```

Summary:
The energy relative to the lowest polymorph listed for this composition is 0.28 eV/f.u. The calculated formation energy is 235 meV per atom.

# 5
DFT (PBE) results for Li2Be after structural relaxation.

```
Li2Be
1.0
-6.6020 0.8765 -0.9188
-5.6162 -1.4216 -3.4112
5.7780 -1.0655 3.2678
Be Li
1 2
direct
0.5000 0.5000 0.0000 Be
0.1515 0.1515 0.0000 Li
0.8485 0.8485 0.0000 Li
```

Summary:
The energy relative to the lowest polymorph listed for this composition is 0.49 eV/f.u. The calculated formation energy is 265 meV per atom.

# 6
DFT (PBE) results for Li3Be after structural relaxation.

```
Li3Be
1.0
4.7797 -0.0218 0.0000
-1.6545 4.4843 0.0000
0.0000 0.0000 2.6713
Be Li
1 3
direct
0.0000 0.0000 0.0000 Be
0.0000 0.5000 0.5000 Li
0.5000 0.0000 0.5000 Li
0.5000 0.5000 0.0000 Li
```

Summary:
The energy relative to the lowest polymorph listed for this composition is 0.29 eV/f.u. The calculated formation energy is 237 meV per atom.

# 7
DFT (PBE) results for Li2Be after structural relaxation.

```
Li2Be
1.0
-3.7721 -2.1819 -1.4716
1.4904 -3.8907 1.9485
-1.1084 0.5729 1.9917
Be Li
1 2
direct
0.0000 0.0000 0.0000 Be
0.0000 0.5000 0.5000 Li
0.5000 0.0000 0.5000 Li
```

Summary:
The energy relative to the lowest polymorph listed for this composition is 0.81 eV/f.u. The calculated formation energy is 370 meV per atom.

# 8
DFT (PBE) results for Li4Be5 after structural relaxation.

```
Li4Be5
1.0
-3.9914 3.9914 1.5003
3.9914 -3.9914 1.5003
3.9914 3.9914 -1.5003
Li Be
4 5
direct
0.3196 0.0000 0.3196 Li
0.6804 0.0000 0.6804 Li
0.0000 0.6804 0.6804 Li
0.0000 0.3196 0.3196 Li
0.0000 0.0000 0.0000 Be
0.3399 0.6601 0.0000 Be
0.6601 0.3399 0.0000 Be
0.6601 0.6601 0.3201 Be
0.3399 0.3399 0.6799 Be
```

Summary:
The energy relative to the lowest polymorph listed for this composition is 0.00 eV/f.u. The calculated formation energy is 254 meV per atom.

# 9
DFT (PBE) results for Li2Be after structural relaxation.

```
Li2Be
1.0
-2.6825 2.6600 -2.1215
-1.5816 -3.4277 2.1264
-0.2359 1.3226 1.9565
Be Li
1 2
direct
0.0000 0.0000 0.0000 Be
0.3333 0.6667 0.4791 Li
0.6667 0.3333 0.5209 Li
```

Summary:
The energy relative to the lowest polymorph listed for this composition is 0.37 eV/f.u. The calculated formation energy is 223 meV per atom.

# 10
DFT (PBE) results for Li2Be after structural relaxation.

```
Li2Be
1.0
0.0000 3.3848 3.3848
3.3848 0.0000 3.3848
3.3848 3.3848 0.0000
Li Be
4 2
direct
0.6250 0.1250 0.1250 Li
0.1250 0.6250 0.1250 Li
0.1250 0.1250 0.6250 Li
0.1250 0.1250 0.1250 Li
0.5000 0.5000 0.5000 Be
0.7500 0.7500 0.7500 Be
```

Summary:
The energy relative to the lowest polymorph listed for this composition is 1.11 eV/f.u. The calculated formation energy is 471 meV per atom.

# 11
DFT (PBE) results for LiBe2 after structural relaxation.

```
LiBe2
1.0
3.7062 0.0000 0.0351
0.0000 4.2117 0.0000
-1.7516 0.0000 4.3785
Li Be
2 4
direct
0.7377 0.2500 0.4672 Li
0.2623 0.7500 0.5328 Li
0.4674 0.2500 0.9338 Be
0.5326 0.7500 0.0662 Be
0.0000 0.0000 0.0000 Be
0.0000 0.5000 0.0000 Be
```

Summary:
The energy relative to the lowest polymorph listed for this composition is 0.00 eV/f.u. The calculated formation energy is 80 meV per atom.

# 12
DFT (PBE) results for LiBe5 after structural relaxation.

```
LiBe5
1.0
-1.7562 3.7545 -1.0943
-0.8192 -3.5080 -2.3240
-2.8224 -0.7154 2.0748
Be Li
5 1
direct
0.8342 0.0000 0.0000 Be
0.8325 0.4991 0.0000 Be
0.3333 0.5009 0.0000 Be
0.0000 0.3333 0.5000 Be
0.6667 0.6667 0.5000 Be
0.3333 0.0000 0.5000 Li
```

Summary:
The energy relative to the lowest polymorph listed for this composition is 0.00 eV/f.u. The calculated formation energy is 44 meV per atom.

# 13
DFT (PBE) results for LiBe6 after structural relaxation.

```
LiBe6
1.0
4.1693 0.0000 0.0000
0.0000 6.8788 0.0000
0.0000 0.0000 8.9760
Li Be
4 24
direct
0.7500 0.2460 0.9295 Li
0.2500 0.7540 0.0705 Li
0.7500 0.7460 0.5705 Li
0.2500 0.2540 0.4295 Li
0.7500 0.5943 0.0127 Be
0.2500 0.4057 0.9873 Be
0.7500 0.0943 0.4873 Be
0.2500 0.9057 0.5127 Be
0.0024 0.4401 0.1910 Be
0.5024 0.5599 0.8090 Be
0.4976 0.9401 0.3090 Be
0.9976 0.0599 0.6910 Be
0.9976 0.5599 0.8090 Be
0.4976 0.4401 0.1910 Be
0.5024 0.0599 0.6910 Be
0.0024 0.9401 0.3090 Be
0.2500 0.1497 0.1431 Be
0.7500 0.8503 0.8569 Be
0.2500 0.6497 0.3569 Be
0.7500 0.3503 0.6431 Be
0.2500 0.8124 0.7429 Be
0.7500 0.1876 0.2571 Be
0.2500 0.3124 0.7571 Be
0.7500 0.6876 0.2429 Be
0.2500 0.5487 0.5964 Be
0.7500 0.4513 0.4036 Be
0.2500 0.0487 0.9036 Be
0.7500 0.9513 0.0964 Be
```

Summary:
The energy relative to the lowest polymorph listed for this composition is 0.00 eV/f.u. The calculated formation energy is 57 meV per atom.

# 14
DFT (PBE) results for LiBe13 after structural relaxation.

```
LiBe13
1.0
6.1774 0.0000 3.5666
2.0591 5.8242 3.5666
0.0000 0.0000 7.1331
Li Be
2 26
direct
0.7500 0.7500 0.7500 Li
0.2500 0.2500 0.2500 Li
0.4334 0.5666 0.2092 Be
0.2092 0.7908 0.4334 Be
0.7908 0.2092 0.5666 Be
0.5666 0.4334 0.7908 Be
0.5666 0.7908 0.2092 Be
0.7908 0.5666 0.4334 Be
0.2092 0.4334 0.5666 Be
0.4334 0.2092 0.7908 Be
0.7908 0.4334 0.2092 Be
0.5666 0.2092 0.4334 Be
0.4334 0.7908 0.5666 Be
0.2092 0.5666 0.7908 Be
0.2908 0.9334 0.0666 Be
0.0666 0.7092 0.2908 Be
0.9334 0.2908 0.7092 Be
0.7092 0.0666 0.9334 Be
0.2908 0.7092 0.9334 Be
0.0666 0.9334 0.7092 Be
0.9334 0.0666 0.2908 Be
0.7092 0.2908 0.0666 Be
0.2908 0.0666 0.7092 Be
0.0666 0.2908 0.9334 Be
0.9334 0.7092 0.0666 Be
0.7092 0.9334 0.2908 Be
0.5000 0.5000 0.5000 Be
0.0000 0.0000 0.0000 Be
```

Summary:
The calculated formation energy is 3 meV per atom.

# 15
DFT (PBE) results for LiBe2 after structural relaxation.

```
LiBe2
1.0
-3.0876 -1.7996 -0.9949
1.4425 -3.4973 1.8492
-3.8291 2.4043 7.5343
Be Li
8 4
direct
0.2500 0.1434 0.7255 Be
0.7500 0.3566 0.2255 Be
0.2500 0.6434 0.7745 Be
0.7500 0.8566 0.2745 Be
0.2500 0.1154 0.2707 Be
0.7500 0.3846 0.7707 Be
0.2500 0.6154 0.2293 Be
0.7500 0.8846 0.7293 Be
0.2500 0.7340 0.5030 Li
0.7500 0.7660 0.0030 Li
0.2500 0.2340 0.9970 Li
0.7500 0.2660 0.4970 Li
```

Summary:
The energy relative to the lowest polymorph listed for this composition is 0.02 eV/f.u. The calculated formation energy is 86 meV per atom.

# 16
DFT (PBE) results for LiBe2 after structural relaxation.

```
LiBe2
1.0
2.2940 -0.0025 0.0005
1.1325 4.6032 0.0072
0.0224 2.2829 5.8725
Li Be
2 4
direct
0.8518 0.8132 0.3745 Li
0.1482 0.1868 0.6255 Li
0.1527 0.1957 0.0119 Be
0.8473 0.8043 0.9881 Be
0.4565 0.5928 0.7907 Be
0.5435 0.4072 0.2093 Be
```

Summary:
The energy relative to the lowest polymorph listed for this composition is 0.05 eV/f.u. The calculated formation energy is 96 meV per atom.

# 17
DFT (PBE) results for Li3Be after structural relaxation.

```
Li3Be
1.0
2.7433 -4.7515 0.0000
2.7433 4.7515 0.0000
0.0000 0.0000 4.5685
Li Be
6 2
direct
0.8261 0.6523 0.2500 Li
0.3477 0.1739 0.2500 Li
0.8261 0.1739 0.2500 Li
0.1739 0.3477 0.7500 Li
0.6523 0.8261 0.7500 Li
0.1739 0.8261 0.7500 Li
0.3333 0.6667 0.2500 Be
0.6667 0.3333 0.7500 Be
```

Summary:
The energy relative to the lowest polymorph listed for this composition is 0.32 eV/f.u. The calculated formation energy is 244 meV per atom.

# 18
DFT (PBE) results for Li2Be after structural relaxation.

```
Li2Be
1.0
-2.5270 3.4816 -2.6941
-0.3276 -1.0679 4.9515
2.9107 2.7147 0.7780
Li Be
4 2
direct
0.4192 0.5808 0.7500 Li
0.5808 0.4192 0.2500 Li
0.7618 0.2382 0.7500 Li
0.2382 0.7618 0.2500 Li
0.0498 0.9502 0.7500 Be
0.9502 0.0498 0.2500 Be
```

Summary:
The energy relative to the lowest polymorph listed for this composition is 0.27 eV/f.u. The calculated formation energy is 190 meV per atom.

# 19
DFT (PBE) results for LiBe2 after structural relaxation.

```
LiBe2
1.0
4.5107 0.1212 -0.0186
2.4882 3.7643 0.0186
-3.0603 -2.7339 1.8768
Be Li
2 1
direct
0.7076 0.7076 0.0000 Be
0.2924 0.2924 0.0000 Be
0.0000 0.0000 0.0000 Li
```

Summary:
The energy relative to the lowest polymorph listed for this composition is 0.22 eV/f.u. The calculated formation energy is 152 meV per atom.

# 20
DFT (PBE) results for Li2Be after structural relaxation.

```
Li2Be
1.0
2.7262 0.0000 0.0000
0.0000 11.6240 0.0000
0.0000 0.0000 2.7259
Li Be
4 2
direct
0.0000 0.8114 0.5000 Li
0.5000 0.1886 0.0000 Li
0.0000 0.3947 0.5000 Li
0.5000 0.6053 0.0000 Li
0.0000 0.0397 0.5000 Be
0.5000 0.9603 0.0000 Be
```

Summary:
The energy relative to the lowest polymorph listed for this composition is 0.00 eV/f.u. The calculated formation energy is 101 meV per atom.